BaTiMo2O8 | PBE+U | relaxed

Output
The density of states at the Fermi level is 3.4 states/eV/f.u. The calculation puts the volume at 17.4 Å³/atom. For the uncorrected energy, the calculation gives -89.1 eV per cell.

Lattice parameters (Å, degrees): 5.7990 5.7990 7.1893 90.00 90.00 120.00
With the nearest neighbours (Å) after each atom.
Atoms (fractional coordinates):
Ba 0.0000 0.0000 0.0000  6 O 2.87
Mo 0.6667 0.3333 0.2546  4 O 1.80-1.85
O 0.1580 0.8427 0.6676  1 Mo 1.85, 1 Ti 1.99
O 0.6667 0.3333 0.0045  1 Mo 1.80
Mo 0.3333 0.6667 0.7454  4 O 1.80-1.85
O 0.8420 0.1573 0.3324  1 Mo 1.85, 1 Ti 1.99
O 0.6848 0.8420 0.6676  1 Mo 1.85, 1 Ti 1.99
O 0.1573 0.3152 0.6676  1 Mo 1.85, 1 Ti 1.99
O 0.3333 0.6667 0.9955  1 Mo 1.80
O 0.3152 0.1580 0.3324  1 Mo 1.85, 1 Ti 1.99
Ti 0.0000 0.0000 0.5000  6 O 1.99
O 0.8427 0.6848 0.3324  1 Mo 1.85, 1 Ti 1.99